Density functional theory data (PBE) for crystalline Ca2YHgO at its relaxed geometry.

Structure (POSCAR):
```
Ca2YHgO
1.0
-2.0580 3.6744 2.4166
-3.8939 -2.7626 0.8846
2.0134 -1.5393 4.0551
Ca Hg Y O
2 1 1 1
direct
0.5000 0.0000 0.0000 Ca
0.0000 0.5000 0.0000 Ca
0.5000 0.5000 0.5000 Hg
0.0000 0.0000 0.5000 Y
0.0000 0.0000 0.0000 O
```

Values from the calculation:
**Crystal system**: tetragonal
**Total energy**: -4.501 eV/atom


Density functional theory data (PBE) for crystalline CaZr2HgO at its relaxed geometry.

Structure (POSCAR):
```
CaZr2HgO
1.0
4.5065 0.0000 0.0000
0.0000 4.5065 0.0000
0.0000 0.0000 4.7545
Ca Zr O Hg
1 2 1 1
direct
0.0000 0.0000 0.5000 Ca
0.0000 0.5000 0.0000 Zr
0.5000 0.0000 0.0000 Zr
0.0000 0.0000 0.0000 O
0.5000 0.5000 0.5000 Hg
```

Values from the calculation:
**Crystal system**: tetragonal
**Total energy**: -5.965 eV/atom


Density functional theory data (PBE) for crystalline Ca2ZrHgO at its relaxed geometry.

Structure (POSCAR):
```
Ca2ZrHgO
1.0
5.7079 0.0000 0.0000
0.0000 5.3065 0.0000
0.0000 0.0000 5.7079
Hg O Ca Zr
1 1 2 1
direct
0.0000 0.0000 0.0000 Hg
0.5000 0.5000 0.5000 O
0.5000 0.0000 0.0000 Ca
0.0000 0.0000 0.5000 Ca
0.0000 0.5000 0.0000 Zr
```

Values from the calculation:
**Crystal system**: tetragonal
**Total energy**: -3.013 eV/atom


Density functional theory data (PBE) for crystalline CaHgOs2 at its relaxed geometry.

Structure (POSCAR):
```
CaHgOs2
1.0
-0.4121 -2.1750 3.4739
0.7246 -4.0550 -0.0099
6.1765 -0.9950 2.5522
Os Hg Ca
2 1 1
direct
0.7161 0.7161 0.8518 Os
0.0268 0.0268 0.9199 Os
0.2689 0.2689 0.1934 Hg
0.4882 0.4882 0.5350 Ca
```

Values from the calculation:
**Crystal system**: trigonal
**ΔH_f (0 K)**: 295 meV per atom


Density functional theory data (PBE) for crystalline CaHgOs at its relaxed geometry.

Structure (POSCAR):
```
CaHgOs
1.0
3.1165 0.0000 0.0000
-1.5582 2.6989 0.0000
0.0000 0.0000 7.2694
Hg Os Ca
1 1 1
direct
0.3333 0.6667 0.3469 Hg
0.6667 0.3333 0.6697 Os
0.0000 0.0000 0.9834 Ca
```

Values from the calculation:
**Crystal system**: trigonal
**ΔH_f (0 K)**: 637 meV per atom


Density functional theory data (PBE) for crystalline Ca2HgOs2 at its relaxed geometry.

Structure (POSCAR):
```
Ca2HgOs2
1.0
6.9218 0.0000 0.0000
0.0000 6.9218 0.0000
0.0000 0.0000 4.6576
Ca Os Hg
4 4 2
direct
0.8259 0.3259 0.5000 Ca
0.6741 0.8259 0.5000 Ca
0.3259 0.1741 0.5000 Ca
0.1741 0.6741 0.5000 Ca
0.6192 0.1192 0.0000 Os
0.8808 0.6192 0.0000 Os
0.3808 0.8808 0.0000 Os
0.1192 0.3808 0.0000 Os
0.0000 0.0000 0.0000 Hg
0.5000 0.5000 0.0000 Hg
```

Values from the calculation:
**Crystal system**: tetragonal
**ΔH_f (0 K)**: 248 meV per atom


Density functional theory data (PBE) for crystalline CaHg4Os at its relaxed geometry.

Structure (POSCAR):
```
CaHg4Os
1.0
0.9592 2.4551 5.0967
2.6122 5.1011 0.2810
-2.9680 4.6620 1.5428
Os Hg Ca
1 4 1
direct
0.7500 0.7500 0.7500 Os
0.3756 0.3756 0.3756 Hg
0.3756 0.3756 0.8733 Hg
0.3756 0.8733 0.3756 Hg
0.8733 0.3756 0.3756 Hg
0.0000 0.0000 0.0000 Ca
```

Values from the calculation:
**Crystal system**: cubic
**ΔH_f (0 K)**: 526 meV per atom


Density functional theory data (PBE) for crystalline CaHgOs4 at its relaxed geometry.

Structure (POSCAR):
```
CaHgOs4
1.0
0.0000 3.7548 3.7548
3.7548 0.0000 3.7548
3.7548 3.7548 0.0000
Os Ca Hg
4 1 1
direct
0.8756 0.3748 0.3748 Os
0.3748 0.3748 0.3748 Os
0.3748 0.3748 0.8756 Os
0.3748 0.8756 0.3748 Os
0.7500 0.7500 0.7500 Ca
0.0000 0.0000 0.0000 Hg
```

Values from the calculation:
**Crystal system**: cubic
**ΔH_f (0 K)**: 527 meV per atom


Density functional theory data (PBE) for crystalline CaHgOs2 at its relaxed geometry.

Structure (POSCAR):
```
CaHgOs2
1.0
-0.9585 -4.2426 3.2755
3.5482 3.6235 1.9819
-2.0213 1.3479 1.1544
Os Hg Ca
2 1 1
direct
0.0000 0.0000 0.0000 Os
0.5000 0.5000 0.0000 Os
0.0000 0.5000 0.5000 Hg
0.5000 0.0000 0.5000 Ca
```

Values from the calculation:
**Crystal system**: orthorhombic
**ΔH_f (0 K)**: 879 meV per atom


Density functional theory data (PBE) for crystalline CaHgOs at its relaxed geometry.

Structure (POSCAR):
```
CaHgOs
1.0
4.9519 0.0000 0.0000
-2.4759 4.2885 0.0000
0.0000 0.0000 2.8796
Ca Hg Os
1 1 1
direct
0.0000 0.0000 0.9999 Ca
0.6667 0.3333 0.5003 Hg
0.3333 0.6667 0.4998 Os
```

Values from the calculation:
**Crystal system**: hexagonal
**ΔH_f (0 K)**: 460 meV per atom


Density functional theory data (PBE) for crystalline CaHgOs2 at its relaxed geometry.

Structure (POSCAR):
```
CaHgOs2
1.0
-0.2680 -2.5331 1.1794
-0.2663 -1.9865 -4.3271
5.8781 -0.6511 -0.0628
Os Ca Hg
2 1 1
direct
0.0000 0.0000 0.0538 Os
0.0000 0.0000 0.4462 Os
0.5000 0.5000 0.2500 Ca
0.5000 0.5000 0.7500 Hg
```

Values from the calculation:
**Crystal system**: orthorhombic
**ΔH_f (0 K)**: 763 meV per atom


Density functional theory data (PBE) for crystalline CaHgOs2 at its relaxed geometry.

Structure (POSCAR):
```
CaHgOs2
1.0
3.7262 0.0000 0.0000
0.0000 2.8824 0.0079
0.0000 2.8559 7.4105
Ca Os Hg
1 2 1
direct
0.0000 0.5193 0.4806 Ca
0.5000 0.3114 0.1876 Os
0.0000 0.9478 0.0521 Os
0.5000 0.7215 0.7798 Hg
```

Values from the calculation:
**Crystal system**: orthorhombic
**ΔH_f (0 K)**: 298 meV per atom